Compound: YMn2W
Source: the Alexandria database
Functional: PBE-GGA
Structure: relaxed

Output
**Energy of formation from the pure elements**: 0.73 eV/atom
**Symmetry**: I-42d (122)
**Energy relative to the lowest polymorph listed for this composition**: 0.496 eV/atom

Geometry as CIF:
```
data_YMn2W
_cell_length_a 5.828
_cell_length_b 5.828
_cell_length_c 5.828
_cell_angle_alpha 104.49
_cell_angle_beta 104.49
_cell_angle_gamma 119.98
_symmetry_space_group_name_H-M 'P 1'
_symmetry_Int_Tables_number 1
_symmetry_space_group_name_Hall 'P 1'
loop_
_atom_site_label
_atom_site_type_symbol
_atom_site_fract_x
_atom_site_fract_y
_atom_site_fract_z
Y1 Y 0.000 0.000 0.000
Y2 Y 0.750 0.250 0.500
Mn1 Mn 0.174 0.625 0.049
Mn2 Mn 0.375 0.424 0.549
Mn3 Mn 0.576 0.125 0.951
Mn4 Mn 0.875 0.826 0.451
W1 W 0.250 0.750 0.500
W2 W 0.500 0.500 0.000
```

***

Compound: KRbAgF4
Source: the Alexandria database
Functional: PBE-GGA
Structure: relaxed

Output
**DFT total energy**: -54.09 eV for the cell shown
**Symmetry**: Cmcm (63)

Geometry as CIF:
```
data_KRbAgF4
_cell_length_a 7.583
_cell_length_b 7.583
_cell_length_c 6.234
_cell_angle_alpha 90.00
_cell_angle_beta 90.00
_cell_angle_gamma 131.54
_symmetry_space_group_name_H-M 'P 1'
_symmetry_Int_Tables_number 1
_symmetry_space_group_name_Hall 'P 1'
loop_
_atom_site_label
_atom_site_type_symbol
_atom_site_fract_x
_atom_site_fract_y
_atom_site_fract_z
K1 K 0.107 0.893 0.750
K2 K 0.893 0.107 0.250
Rb1 Rb 0.396 0.604 0.750
Rb2 Rb 0.604 0.396 0.250
Ag1 Ag 0.247 0.753 0.250
Ag2 Ag 0.753 0.247 0.750
F1 F 0.000 0.500 0.000
F2 F 0.000 0.500 0.500
F3 F 0.084 0.916 0.250
F4 F 0.409 0.591 0.250
F5 F 0.500 0.000 0.000
F6 F 0.500 0.000 0.500
F7 F 0.591 0.409 0.750
F8 F 0.916 0.084 0.750
```

***

Compound: ScBeAl2
Source: the Alexandria database
Functional: PBE-GGA
Structure: relaxed

Output
**Energy of formation from the pure elements**: -0.10 eV/atom
**Symmetry**: Cmmm (65)

Geometry as CIF:
```
data_ScBeAl2
_cell_length_a 3.029
_cell_length_b 3.029
_cell_length_c 6.962
_cell_angle_alpha 90.00
_cell_angle_beta 90.00
_cell_angle_gamma 94.17
_symmetry_space_group_name_H-M 'P 1'
_symmetry_Int_Tables_number 1
_symmetry_space_group_name_Hall 'P 1'
loop_
_atom_site_label
_atom_site_type_symbol
_atom_site_fract_x
_atom_site_fract_y
_atom_site_fract_z
Sc1 Sc 0.000 0.000 0.000
Be1 Be 0.000 0.000 0.500
Al1 Al 0.500 0.500 0.299
Al2 Al 0.500 0.500 0.701
```

***

Compound: Li2TbPm2Mg5
Source: the Alexandria database
Functional: PBE-GGA
Structure: relaxed

Output
**Energy of formation from the pure elements**: -0.04 eV/atom
**Symmetry**: P4/mbm (127)

Geometry as CIF:
```
data_Li2TbPm2Mg5
_cell_length_a 10.697
_cell_length_b 10.697
_cell_length_c 4.445
_cell_angle_alpha 90.00
_cell_angle_beta 90.00
_cell_angle_gamma 90.00
_symmetry_space_group_name_H-M 'P 1'
_symmetry_Int_Tables_number 1
_symmetry_space_group_name_Hall 'P 1'
loop_
_atom_site_label
_atom_site_type_symbol
_atom_site_fract_x
_atom_site_fract_y
_atom_site_fract_z
Li1 Li 0.114 0.386 0.000
Li2 Li 0.386 0.886 0.000
Li3 Li 0.614 0.114 0.000
Li4 Li 0.886 0.614 0.000
Tb1 Tb 0.000 0.000 0.000
Tb2 Tb 0.500 0.500 0.000
Pm1 Pm 0.181 0.681 0.000
Pm2 Pm 0.319 0.181 0.000
Pm3 Pm 0.681 0.819 0.000
Pm4 Pm 0.819 0.319 0.000
Mg1 Mg 0.000 0.500 0.500
Mg2 Mg 0.062 0.214 0.500
Mg3 Mg 0.214 0.938 0.500
Mg4 Mg 0.286 0.438 0.500
Mg5 Mg 0.438 0.714 0.500
Mg6 Mg 0.500 0.000 0.500
Mg7 Mg 0.562 0.286 0.500
Mg8 Mg 0.714 0.562 0.500
Mg9 Mg 0.786 0.062 0.500
Mg10 Mg 0.938 0.786 0.500
```

***

Compound: TcSbTe2
Source: the Alexandria database
Functional: PBE-GGA
Structure: relaxed

Output
**DFT total energy**: -20.30 eV for the cell shown
**Symmetry**: R3m (160)

Geometry as CIF:
```
data_TcSbTe2
_cell_length_a 9.822
_cell_length_b 9.822
_cell_length_c 9.822
_cell_angle_alpha 20.39
_cell_angle_beta 20.39
_cell_angle_gamma 20.39
_symmetry_space_group_name_H-M 'P 1'
_symmetry_Int_Tables_number 1
_symmetry_space_group_name_Hall 'P 1'
loop_
_atom_site_label
_atom_site_type_symbol
_atom_site_fract_x
_atom_site_fract_y
_atom_site_fract_z
Tc1 Tc 0.000 0.000 0.000
Sb1 Sb 0.734 0.734 0.734
Te1 Te 0.272 0.272 0.272
Te2 Te 0.488 0.488 0.488
```

***

Compound: Th2Al4SiPd3
Source: the Alexandria database
Functional: PBE-GGA
Structure: relaxed

Output
**DFT total energy**: -58.48 eV for the cell shown
**Symmetry**: P-4m2 (115)

Geometry as CIF:
```
data_Th2Al4SiPd3
_cell_length_a 4.305
_cell_length_b 4.305
_cell_length_c 10.364
_cell_angle_alpha 90.00
_cell_angle_beta 90.00
_cell_angle_gamma 90.00
_symmetry_space_group_name_H-M 'P 1'
_symmetry_Int_Tables_number 1
_symmetry_space_group_name_Hall 'P 1'
loop_
_atom_site_label
_atom_site_type_symbol
_atom_site_fract_x
_atom_site_fract_y
_atom_site_fract_z
Th1 Th 0.000 0.500 0.250
Th2 Th 0.500 0.000 0.750
Al1 Al 0.000 0.000 0.000
Al2 Al 0.000 0.500 0.633
Al3 Al 0.500 0.000 0.367
Al4 Al 0.500 0.500 0.000
Si1 Si 0.000 0.000 0.500
Pd1 Pd 0.000 0.500 0.869
Pd2 Pd 0.500 0.000 0.131
Pd3 Pd 0.500 0.500 0.500
```

***

Compound: MgHg2Te
Source: the Alexandria database
Functional: PBE-GGA
Structure: relaxed

Output
**Symmetry**: F-43m (216)
**Energy relative to the lowest polymorph listed for this composition**: 0.143 eV/atom

Geometry as CIF:
```
data_MgHg2Te
_cell_length_a 5.319
_cell_length_b 5.319
_cell_length_c 5.319
_cell_angle_alpha 60.00
_cell_angle_beta 60.00
_cell_angle_gamma 60.00
_symmetry_space_group_name_H-M 'P 1'
_symmetry_Int_Tables_number 1
_symmetry_space_group_name_Hall 'P 1'
loop_
_atom_site_label
_atom_site_type_symbol
_atom_site_fract_x
_atom_site_fract_y
_atom_site_fract_z
Mg1 Mg 0.000 0.000 0.000
Hg1 Hg 0.250 0.250 0.250
Hg2 Hg 0.500 0.500 0.500
Te1 Te 0.750 0.750 0.750
```

***

Compound: ThPa4Ge5
Source: the Alexandria database
Functional: PBE-GGA
Structure: relaxed

Output
**Energy of formation from the pure elements**: -0.49 eV/atom
**Symmetry**: Immm (71)

Geometry as CIF:
```
data_ThPa4Ge5
_cell_length_a 11.031
_cell_length_b 11.031
_cell_length_c 11.031
_cell_angle_alpha 158.21
_cell_angle_beta 149.00
_cell_angle_gamma 38.22
_symmetry_space_group_name_H-M 'P 1'
_symmetry_Int_Tables_number 1
_symmetry_space_group_name_Hall 'P 1'
loop_
_atom_site_label
_atom_site_type_symbol
_atom_site_fract_x
_atom_site_fract_y
_atom_site_fract_z
Th1 Th 0.000 0.000 0.000
Pa1 Pa 0.202 0.202 0.000
Pa2 Pa 0.400 0.400 0.000
Pa3 Pa 0.600 0.600 0.000
Pa4 Pa 0.798 0.798 0.000
Ge1 Ge 0.105 0.605 0.500
Ge2 Ge 0.301 0.801 0.500
Ge3 Ge 0.500 0.000 0.500
Ge4 Ge 0.699 0.199 0.500
Ge5 Ge 0.895 0.395 0.500
```

***

Q: What is the formula in the second record?
A: KRbAgF4